(1)
## LaPIr2 (PBE)

Data for a relaxed LaPIr2 crystal.

- Formation enthalpy at 0 K: -238 meV per atom
- D(E_F): 8.4 states/eV per cell

Structure (CIF):
```
data_LaPIr2
_chemical_formula_sum 'La2 P2 Ir4'
_space_group_name_H-M_alt 'I m m m'
_space_group_IT_number 71
_space_group_name_Hall '-I 2 2'
_cell_length_a 3.013
_cell_length_b 5.060
_cell_length_c 9.364
_cell_angle_alpha 90.00
_cell_angle_beta 90.00
_cell_angle_gamma 90.00
loop_
_atom_site_label
_atom_site_type_symbol
_atom_site_fract_x
_atom_site_fract_y
_atom_site_fract_z
La1 La 0.000 0.000 0.000
P1 P 0.000 0.000 0.500
Ir1 Ir 0.000 0.500 0.207
```

***

(2)
## KHfTe3 (PBE)

Data for a relaxed KHfTe3 crystal.

- Uncorrected formation energy: -0.769 eV/atom
- D(E_F): 2.9 states/eV per cell

Structure (CIF):
```
data_KHfTe3
_chemical_formula_sum 'K4 Hf4 Te12'
_space_group_name_H-M_alt 'C 1 2/m 1'
_space_group_IT_number 12
_space_group_name_Hall '-C 2y'
_cell_length_a 19.241
_cell_length_b 3.890
_cell_length_c 10.165
_cell_angle_alpha 90.00
_cell_angle_beta 99.47
_cell_angle_gamma 90.00
loop_
_atom_site_label
_atom_site_type_symbol
_atom_site_fract_x
_atom_site_fract_y
_atom_site_fract_z
K1 K 0.101 0.000 0.411
Hf1 Hf 0.198 0.500 0.832
Te1 Te 0.058 0.500 0.693
Te2 Te 0.156 0.000 0.013
Te3 Te 0.244 0.500 0.324
```

***

(3)
## CuBiF3 (PBE)

Data for a relaxed CuBiF3 crystal.

- Uncorrected formation energy: -1.231 eV/atom
- D(E_F): 3.3 states/eV per cell

Structure (CIF):
```
data_CuBiF3
_chemical_formula_sum 'Cu1 Bi1 F3'
_space_group_name_H-M_alt 'P m -3 m'
_space_group_IT_number 221
_space_group_name_Hall '-P 4 2 3'
_cell_length_a 4.166
_cell_length_b 4.166
_cell_length_c 4.166
_cell_angle_alpha 90.00
_cell_angle_beta 90.00
_cell_angle_gamma 90.00
loop_
_atom_site_label
_atom_site_type_symbol
_atom_site_fract_x
_atom_site_fract_y
_atom_site_fract_z
Cu1 Cu 0.000 0.000 0.000
Bi1 Bi 0.500 0.500 0.500
F1 F 0.000 0.000 0.500
```

***

(4)
## LaNd4Ga (PBE)

Data for a relaxed LaNd4Ga crystal.

- Formation enthalpy at 0 K: -115 meV per atom
- D(E_F): 34.4 states/eV per cell

Structure (CIF):
```
data_LaNd4Ga
_chemical_formula_sum 'La4 Nd16 Ga4'
_space_group_name_H-M_alt 'C 1 2/c 1'
_space_group_IT_number 15
_space_group_name_Hall '-C 2yc'
_cell_length_a 9.162
_cell_length_b 14.002
_cell_length_c 6.467
_cell_angle_alpha 90.00
_cell_angle_beta 110.09
_cell_angle_gamma 90.00
loop_
_atom_site_label
_atom_site_type_symbol
_atom_site_fract_x
_atom_site_fract_y
_atom_site_fract_z
La1 La 0.000 0.116 0.250
Nd1 Nd 0.101 0.319 0.561
Nd2 Nd 0.222 0.096 0.862
Ga1 Ga 0.000 0.498 0.250
```

***

Number 1: spin magnetization 0.00 μB per atom. Number 2: spin magnetization 0.00 μB per atom. Number 3: spin magnetization 0.10 μB per atom. Number 4: spin magnetization 0.00 μB per atom.